1.
! PBE-GGA Ac4Si3Pd12Pt, relaxed; values from VASP
! Formation energy (no corrections) in meV/atom: -592
! Symmetry: Im-3m, No. 229
! DFT total energy in eV per atom: -5.64
&SYSTEM
  ibrav = 0, nat = 20, ntyp = 4
/
ATOMIC_SPECIES
Ac 227.00 Ac.upf
Si 28.09 Si.upf
Pd 106.42 Pd.upf
Pt 195.08 Pt.upf
ATOMIC_POSITIONS angstrom
Ac 2.3907 2.3907 -2.3907
Ac 2.3907 -2.3907 2.3907
Ac -2.3907 2.3907 2.3907
Ac 2.3907 2.3907 2.3907
Si 4.7814 0.0000 0.0000
Si 0.0000 4.7814 0.0000
Si 0.0000 0.0000 4.7814
Pd 2.5543 0.0000 0.0000
Pd 7.0084 0.0000 0.0000
Pd 4.7814 2.3907 0.0000
Pd 4.7814 0.0000 2.3907
Pd 0.0000 2.5543 0.0000
Pd 0.0000 0.0000 2.5543
Pd 2.3907 4.7814 0.0000
Pd 2.3907 0.0000 4.7814
Pd 0.0000 7.0084 0.0000
Pd 0.0000 0.0000 7.0084
Pd 0.0000 4.7814 2.3907
Pd 0.0000 2.3907 4.7814
Pt 0.0000 0.0000 0.0000
CELL_PARAMETERS angstrom
-4.7814 4.7814 4.7814
4.7814 -4.7814 4.7814
4.7814 4.7814 -4.7814

=====

2.
! PBE-GGA Ac2SiPdPt6, relaxed; values from VASP
! Formation energy (no corrections) in meV/atom: -888
! Symmetry: P-1, No. 2
! DFT total energy in eV per atom: -6.40
&SYSTEM
  ibrav = 0, nat = 10, ntyp = 4
/
ATOMIC_SPECIES
Ac 227.00 Ac.upf
Si 28.09 Si.upf
Pd 106.42 Pd.upf
Pt 195.08 Pt.upf
ATOMIC_POSITIONS angstrom
Ac 2.7575 1.4766 1.9932
Ac 8.2675 4.8240 4.4775
Si 0.0000 0.0000 0.0000
Pd 5.5125 3.1503 3.2354
Pt 5.5077 3.9356 5.7917
Pt 4.1562 1.6622 5.0214
Pt 4.1587 4.6390 1.4467
Pt 6.8663 1.6616 5.0240
Pt 6.8688 4.6385 1.4494
Pt 5.5173 2.3651 0.6791
CELL_PARAMETERS angstrom
5.5202 0.0000 0.0000
2.7505 5.9602 0.0000
2.7543 0.3404 6.4708